(1)
Material: Ac6Ag3Hg
Method: DFT, PBE
State: optimized geometry

Cell: 10.7461 5.1749 13.5037 Å, 90.00 111.04 90.00°
Sites, in units of the cell vectors:
Ac  0.0209  0.2500  0.1183
Ac  0.1471  0.2500  0.7371
Ac  0.1908  0.7500  0.5363
Ac  0.3260  0.7500  0.1392
Ac  0.3823  0.2500  0.3853
Ac  0.4134  0.7500  0.8771
Ac  0.5866  0.2500  0.1229
Ac  0.6177  0.7500  0.6147
Ac  0.6740  0.2500  0.8608
Ac  0.8092  0.2500  0.4637
Ac  0.8529  0.7500  0.2629
Ac  0.9791  0.7500  0.8817
Ag  0.0598  0.2500  0.3698
Ag  0.1635  0.7500  0.2934
Ag  0.2445  0.2500  0.9849
Ag  0.7555  0.7500  0.0151
Ag  0.8365  0.2500  0.7066
Ag  0.9402  0.7500  0.6302
Hg  0.4016  0.2500  0.6481
Hg  0.5984  0.7500  0.3519

Calculated values
E_form	-20	kJ/mol of atoms

(2)
Material: YNb2H2
Method: DFT, PBE
State: optimized geometry

Cell: 6.0234 6.0234 6.0234 Å, 144.66 144.66 50.84°
Sites, in units of the cell vectors:
Y  0.0000  0.0000  0.0000
Nb  0.3153  0.3153  0.0000
Nb  0.6847  0.6847  0.0000
H  0.2500  0.7500  0.5000
H  0.7500  0.2500  0.5000

Calculated values
distance to the lowest polymorph of the same formula	0	meV/atom

(3)
Material: SmHoH
Method: DFT, PBE
State: optimized geometry

Cell: 6.5195 6.5195 6.5195 Å, 149.78 149.78 43.27°
Sites, in units of the cell vectors:
Sm  0.0000  0.0000  0.0000
Ho  0.2901  0.2901  0.0000
H  0.4727  0.4727  0.0000

Calculated values
distance to the lowest polymorph of the same formula	105	meV/atom

(4)
Material: Tb3AlAu2
Method: DFT, PBE
State: optimized geometry

Cell: 3.5928 3.5928 11.0187 Å, 90.00 90.00 90.00°
Sites, in units of the cell vectors:
Tb  0.0000  0.0000  0.0000
Tb  0.0000  0.0000  0.3306
Tb  0.0000  0.0000  0.6694
Al  0.5000  0.5000  0.5000
Au  0.5000  0.5000  0.1702
Au  0.5000  0.5000  0.8298

Calculated values
E_form	-67	kJ/mol of atoms

(5)
Material: LaSm12Al4N3
Method: DFT, PBE
State: optimized geometry

Cell: 8.7114 8.7114 8.7114 Å, 109.47 109.47 109.47°
Sites, in units of the cell vectors:
La  0.0000  0.0000  0.0000
Sm  0.0000  0.2743  0.2743
Sm  0.0000  0.7257  0.7257
Sm  0.2500  0.5000  0.7500
Sm  0.2500  0.7500  0.5000
Sm  0.2743  0.0000  0.2743
Sm  0.2743  0.2743  0.0000
Sm  0.5000  0.2500  0.7500
Sm  0.5000  0.7500  0.2500
Sm  0.7257  0.0000  0.7257
Sm  0.7257  0.7257  0.0000
Sm  0.7500  0.2500  0.5000
Sm  0.7500  0.5000  0.2500
Al  0.0000  0.0000  0.5000
Al  0.0000  0.5000  0.0000
Al  0.5000  0.0000  0.0000
Al  0.5000  0.5000  0.5000
N  0.0000  0.5000  0.5000
N  0.5000  0.0000  0.5000
N  0.5000  0.5000  0.0000

Calculated values
raw formation energy	-0.372	eV per atom

(6)
Material: RbTl3Ge
Method: DFT, PBE
State: optimized geometry

Cell: 9.9931 9.9931 7.3561 Å, 100.31 100.31 66.42°
Sites, in units of the cell vectors:
Rb  0.0248  0.9752  0.7500
Rb  0.3510  0.6490  0.2500
Rb  0.6490  0.3510  0.7500
Rb  0.9752  0.0248  0.2500
Tl  0.0039  0.3520  0.5922
Tl  0.0152  0.3474  0.0897
Tl  0.3163  0.3191  0.4165
Tl  0.3191  0.3163  0.9165
Tl  0.3474  0.0152  0.5897
Tl  0.3520  0.0039  0.0922
Tl  0.6480  0.9961  0.9078
Tl  0.6526  0.9848  0.4103
Tl  0.6809  0.6837  0.0835
Tl  0.6837  0.6809  0.5835
Tl  0.9848  0.6526  0.9103
Tl  0.9961  0.6480  0.4078
Ge  0.2573  0.5883  0.7157
Ge  0.4117  0.7427  0.7843
Ge  0.5883  0.2573  0.2157
Ge  0.7427  0.4117  0.2843

Calculated values
E_form	0	kJ/mol of atoms
distance to the lowest polymorph of the same formula	0	meV/atom

(7)
Material: Y8CSe3S3
Method: DFT, PBE
State: optimized geometry

Cell: 8.0020 8.0020 8.0020 Å, 58.82 58.82 58.82°
Sites, in units of the cell vectors:
Y  0.2420  0.2420  0.2420
Y  0.2646  0.7250  0.7250
Y  0.2750  0.2750  0.7354
Y  0.2750  0.7354  0.2750
Y  0.7250  0.2646  0.7250
Y  0.7250  0.7250  0.2646
Y  0.7354  0.2750  0.2750
Y  0.7580  0.7580  0.7580
C  0.5000  0.5000  0.5000
Se  0.0000  0.5000  0.5000
Se  0.5000  0.0000  0.5000
Se  0.5000  0.5000  0.0000
S  0.0000  0.0000  0.5000
S  0.0000  0.5000  0.0000
S  0.5000  0.0000  0.0000

Calculated values
raw formation energy	-1.603	eV per atom

(8)
Material: Sr2Li3Au
Method: DFT, PBE
State: optimized geometry

Cell: 6.3159 6.3159 7.9460 Å, 122.39 122.39 41.98°
Sites, in units of the cell vectors:
Sr  0.0000  0.0000  0.0000
Sr  0.1393  0.1393  0.6204
Li  0.3784  0.3784  0.2683
Li  0.7103  0.7103  0.0010
Li  0.7897  0.7897  0.4391
Au  0.4432  0.4432  0.6585

Calculated values
E_form	-27	kJ/mol of atoms

Which formula does entry 1 have? Ac6Ag3Hg

Number 7 is which compound? Y8CSe3S3